# CrSe2NF PBE+U relaxed
# Energy above the lowest structure with this stoichiometry   0.00 kJ/mol of atoms
data_CrSe2NF
_chemical_formula_sum 'Cr1 Se2 N1 F1'
_cell_length_a 4.9821
_cell_length_b 4.9821
_cell_length_c 3.6564
_cell_angle_alpha 90.00
_cell_angle_beta 90.00
_cell_angle_gamma 90.00
_space_group_name_H-M_alt 'P 4/m m m'
_space_group_IT_number 123
_space_group_name_Hall '-P 4 2'
loop_
_atom_site_label
_atom_site_type_symbol
_atom_site_fract_x
_atom_site_fract_y
_atom_site_fract_z
_atom_site_occupancy
Cr1 Cr 0.0000 0.0000 0.0000 1
Se1 Se 0.0000 0.5000 0.0000 1
N1 N 0.0000 0.0000 0.5000 1
F1 F 0.5000 0.5000 0.5000 1